# 1
VASP calculation (PBE) on a relaxed structure of Na3Cd3Pb. Values from VASP.

Calculated values
Symmetry: R-3, No. 148
Calculated volume, Å³/f.u.: 196.2
Spin magnetization, μB/cell: 0.000
E_form, meV/atom: -54
Fermi-level density of states, states/eV per atom: 0.407
DFT total energy, eV/atom: -1.5412

Geometry as Quantum ESPRESSO input:
```
&SYSTEM
  ibrav = 0, nat = 14, ntyp = 3
/
ATOMIC_SPECIES
Na 22.99 Na.upf
Cd 112.41 Cd.upf
Pb 207.20 Pb.upf
CELL_PARAMETERS angstrom
-7.841 2.671 -0.688
-6.076 -3.116 4.738
-3.584 4.518 5.985
ATOMIC_POSITIONS crystal
Na 0.717 0.563 0.066
Na 0.066 0.717 0.563
Na 0.563 0.066 0.717
Na 0.437 0.934 0.283
Na 0.934 0.283 0.437
Na 0.283 0.437 0.934
Cd 0.732 0.178 0.914
Cd 0.178 0.914 0.732
Cd 0.914 0.732 0.178
Cd 0.086 0.268 0.822
Cd 0.822 0.086 0.268
Cd 0.268 0.822 0.086
Pb 0.348 0.348 0.348
Pb 0.652 0.652 0.652
```

# 2
VASP calculation (PBE) on a relaxed structure of Na12Cd7Pb. Values from VASP.

Calculated values
Symmetry: R-3, No. 148
Calculated volume, Å³/f.u.: 581.8
Spin magnetization, μB/cell: 0.000
E_form, meV/atom: -68
Fermi-level density of states, states/eV per atom: 0.282
DFT total energy, eV/atom: -1.3649

Geometry as Quantum ESPRESSO input:
```
&SYSTEM
  ibrav = 0, nat = 20, ntyp = 3
/
ATOMIC_SPECIES
Na 22.99 Na.upf
Cd 112.41 Cd.upf
Pb 207.20 Pb.upf
CELL_PARAMETERS angstrom
8.975 -0.167 -0.251
-2.656 8.574 -0.251
-2.656 -3.534 7.816
ATOMIC_POSITIONS crystal
Na 0.982 0.305 0.852
Na 0.695 0.148 0.018
Na 0.631 0.172 0.458
Na 0.828 0.542 0.369
Na 0.148 0.018 0.695
Na 0.542 0.369 0.828
Na 0.458 0.631 0.172
Na 0.852 0.982 0.305
Na 0.172 0.458 0.631
Na 0.369 0.828 0.542
Na 0.305 0.852 0.982
Na 0.018 0.695 0.148
Cd 0.875 0.594 0.745
Cd 0.406 0.255 0.125
Cd 0.255 0.125 0.406
Cd 0.500 0.500 0.500
Cd 0.745 0.875 0.594
Cd 0.594 0.745 0.875
Cd 0.125 0.406 0.255
Pb 0.000 0.000 0.000
```

# 3
VASP calculation (PBE) on a relaxed structure of Na6CdPb. Values from VASP.

Calculated values
Symmetry: P-1, No. 2
Calculated volume, Å³/f.u.: 241.3
Spin magnetization, μB/cell: 0.000
E_form, meV/atom: -76
Fermi-level density of states, states/eV per atom: 0.462
ΔE to the lowest computed polymorph, eV/f.u.: 0.11
DFT total energy, eV/atom: -1.6435

Geometry as Quantum ESPRESSO input:
```
&SYSTEM
  ibrav = 0, nat = 8, ntyp = 3
/
ATOMIC_SPECIES
Na 22.99 Na.upf
Cd 112.41 Cd.upf
Pb 207.20 Pb.upf
CELL_PARAMETERS angstrom
8.753 -0.039 0.134
4.327 7.604 0.100
4.357 2.538 3.695
ATOMIC_POSITIONS crystal
Na 0.000 0.502 0.744
Na 0.754 0.001 0.742
Na 0.501 0.246 0.253
Na 0.246 0.999 0.258
Na 0.000 0.498 0.256
Na 0.499 0.754 0.747
Cd 0.500 0.500 0.500
Pb 0.000 0.000 0.000
```

# 4
VASP calculation (PBE) on a relaxed structure of Na15Cd4Pb. Values from VASP.

Calculated values
Symmetry: P4/mmm, No. 123
Calculated volume, Å³/f.u.: 602.2
Spin magnetization, μB/cell: 0.000
E_form, meV/atom: -47
Fermi-level density of states, states/eV per atom: 0.448
DFT total energy, eV/atom: -1.4048

Geometry as Quantum ESPRESSO input:
```
&SYSTEM
  ibrav = 0, nat = 20, ntyp = 3
/
ATOMIC_SPECIES
Na 22.99 Na.upf
Cd 112.41 Cd.upf
Pb 207.20 Pb.upf
CELL_PARAMETERS angstrom
4.922 0.000 0.000
0.000 4.922 0.000
0.000 0.000 24.862
ATOMIC_POSITIONS crystal
Na 0.500 0.500 0.000
Na 0.500 0.500 0.201
Na 0.500 0.500 0.400
Na 0.500 0.500 0.600
Na 0.500 0.500 0.799
Na 0.500 0.000 0.098
Na 0.500 0.000 0.301
Na 0.500 0.000 0.500
Na 0.500 0.000 0.699
Na 0.500 0.000 0.902
Na 0.000 0.500 0.098
Na 0.000 0.500 0.301
Na 0.000 0.500 0.500
Na 0.000 0.500 0.699
Na 0.000 0.500 0.902
Cd 0.000 0.000 0.199
Cd 0.000 0.000 0.400
Cd 0.000 0.000 0.600
Cd 0.000 0.000 0.801
Pb 0.000 0.000 0.000
```